[1]
# LaTbCeAg GGA-PBE relaxed
data_LaTbCeAg
_chemical_formula_sum 'La4 Tb4 Ce4 Ag4'
_space_group_name_H-M_alt 'F -4 3 m'
_space_group_IT_number 216
_space_group_name_Hall 'F -4 2 3'
_cell_length_a 7.619
_cell_length_b 7.619
_cell_length_c 7.619
_cell_angle_alpha 90.00
_cell_angle_beta 90.00
_cell_angle_gamma 90.00
loop_
_atom_site_label
_atom_site_fract_x
_atom_site_fract_y
_atom_site_fract_z
La1 0.000 0.000 0.000
Tb1 0.000 0.000 0.500
Ce1 0.250 0.250 0.250
Ag1 0.250 0.250 0.750
# formation energy	0.115	eV/atom
# spin magnetization	11.12	Bohr magnetons per cell

---

[2]
# La2CeTcAg GGA-PBE relaxed
data_La2CeTcAg
_chemical_formula_sum 'La2 Ce1 Tc1 Ag1'
_space_group_name_H-M_alt 'P 4 m m'
_space_group_IT_number 99
_space_group_name_Hall 'P 4 -2'
_cell_length_a 5.549
_cell_length_b 5.549
_cell_length_c 5.247
_cell_angle_alpha 90.00
_cell_angle_beta 90.00
_cell_angle_gamma 90.00
loop_
_atom_site_label
_atom_site_fract_x
_atom_site_fract_y
_atom_site_fract_z
La1 0.000 0.500 0.000
Ce1 0.000 0.000 0.511
Tc1 0.000 0.000 0.066
Ag1 0.500 0.500 0.579
# formation energy	0.030	eV/atom
# spin magnetization	0.42	Bohr magnetons per cell

---

[3]
# LaCeThAg GGA-PBE relaxed
data_LaCeThAg
_chemical_formula_sum 'La4 Ce4 Th4 Ag4'
_space_group_name_H-M_alt 'F -4 3 m'
_space_group_IT_number 216
_space_group_name_Hall 'F -4 2 3'
_cell_length_a 7.597
_cell_length_b 7.597
_cell_length_c 7.597
_cell_angle_alpha 90.00
_cell_angle_beta 90.00
_cell_angle_gamma 90.00
loop_
_atom_site_label
_atom_site_fract_x
_atom_site_fract_y
_atom_site_fract_z
La1 0.000 0.000 0.000
Ce1 0.250 0.250 0.250
Th1 0.000 0.000 0.500
Ag1 0.250 0.250 0.750
# formation energy	0.119	eV/atom
# spin magnetization	0.01	Bohr magnetons per cell

---

[4]
# LaCeZnAg GGA-PBE relaxed
data_LaCeZnAg
_chemical_formula_sum 'La4 Ce4 Zn4 Ag4'
_space_group_name_H-M_alt 'F -4 3 m'
_space_group_IT_number 216
_space_group_name_Hall 'F -4 2 3'
_cell_length_a 7.494
_cell_length_b 7.494
_cell_length_c 7.494
_cell_angle_alpha 90.00
_cell_angle_beta 90.00
_cell_angle_gamma 90.00
loop_
_atom_site_label
_atom_site_fract_x
_atom_site_fract_y
_atom_site_fract_z
La1 0.000 0.000 0.000
Ce1 0.000 0.000 0.500
Zn1 0.250 0.250 0.250
Ag1 0.250 0.250 0.750
# relative energy among the computed polymorphs	28.2	meV/atom
# formation energy	-0.166	eV/atom
# spin magnetization	5.91	Bohr magnetons per cell

---

[5]
# LaCeZnAg GGA-PBE relaxed
data_LaCeZnAg
_chemical_formula_sum 'La1 Ce1 Zn1 Ag1'
_space_group_name_H-M_alt 'P 4 m m'
_space_group_IT_number 99
_space_group_name_Hall 'P 4 -2'
_cell_length_a 3.801
_cell_length_b 3.801
_cell_length_c 7.183
_cell_angle_alpha 90.00
_cell_angle_beta 90.00
_cell_angle_gamma 90.00
loop_
_atom_site_label
_atom_site_fract_x
_atom_site_fract_y
_atom_site_fract_z
La1 0.000 0.000 0.000
Ce1 0.000 0.000 0.526
Zn1 0.500 0.500 0.749
Ag1 0.500 0.500 0.278
# relative energy among the computed polymorphs	0.0	meV/atom
# formation energy	-0.194	eV/atom
# spin magnetization	0.88	Bohr magnetons per cell

---

[6]
# Li5CeAg7 GGA-PBE relaxed
data_Li5CeAg7
_chemical_formula_sum 'Li10 Ce2 Ag14'
_space_group_name_H-M_alt 'I m m 2'
_space_group_IT_number 44
_space_group_name_Hall 'I 2 -2'
_cell_length_a 5.299
_cell_length_b 9.427
_cell_length_c 9.386
_cell_angle_alpha 90.00
_cell_angle_beta 90.00
_cell_angle_gamma 90.00
loop_
_atom_site_label
_atom_site_fract_x
_atom_site_fract_y
_atom_site_fract_z
Li1 0.000 0.000 0.000
Li2 0.248 0.248 0.519
Ce1 0.000 0.500 0.259
Ag1 0.000 0.000 0.550
Ag2 0.000 0.151 0.268
Ag3 0.000 0.215 0.772
Ag4 0.000 0.500 0.609
Ag5 0.000 0.500 0.913
# formation energy	-0.132	eV/atom
# spin magnetization	2.20	Bohr magnetons per cell